(1)
Material: LiZnPt
Method: DFT, SCAN
State: PBEsol geometry

a b c (Å): 2.727 2.727 6.557
angles (deg): 90.00 90.00 120.00
Positions (direct):
1 Li 0.000 0.000 0.000
2 Zn 0.667 0.333 0.345
3 Pt 0.333 0.667 0.682

Properties
* distance to the lowest polymorph of the same formula: 223 meV/atom
* space-group type: No. 156
* spin magnetization: 0.00 μB/cell
* calculated total energy: -87.33 eV per cell

***

(2)
Material: LiZrPt2
Method: DFT, SCAN
State: PBEsol geometry

a b c (Å): 2.831 2.831 8.044
angles (deg): 90.00 90.00 90.00
Positions (direct):
1 Li 0.000 0.000 0.000
2 Zr 0.500 0.500 0.695
3 Pt 0.000 0.000 0.444
4 Pt 0.500 0.500 0.195

Properties
* distance to the lowest polymorph of the same formula: 747 meV/atom
* space-group type: No. 99
* spin magnetization: 0.00 μB/cell
* calculated total energy: -174.90 eV per cell

***

(3)
Material: Li2ZrPt
Method: DFT, SCAN
State: PBEsol geometry

a b c (Å): 3.392 3.392 6.291
angles (deg): 90.00 90.00 90.00
Positions (direct):
1 Li 0.000 0.000 0.000
2 Li 0.500 0.500 0.201
3 Zr 0.500 0.500 0.650
4 Pt 0.000 0.000 0.459

Properties
* distance to the lowest polymorph of the same formula: 111 meV/atom
* space-group type: No. 99
* spin magnetization: 0.00 μB/cell
* calculated total energy: -107.65 eV per cell

***

(4)
Material: Li2ZrPt
Method: DFT, SCAN
State: PBEsol geometry

a b c (Å): 2.856 4.840 4.809
angles (deg): 90.00 93.12 90.00
Positions (direct):
1 Li 0.192 0.000 0.279
2 Li 0.808 0.000 0.721
3 Zr 0.500 0.500 0.000
4 Pt 0.000 0.500 0.500

Properties
* distance to the lowest polymorph of the same formula: 155 meV/atom
* space-group type: No. 10
* spin magnetization: 0.03 μB/cell
* calculated total energy: -107.47 eV per cell

***

(5)
Material: Li2ZrPt
Method: DFT, SCAN
State: PBEsol geometry

a b c (Å): 4.472 4.472 4.472
angles (deg): 60.00 60.00 60.00
Positions (direct):
1 Li 0.000 0.000 0.000
2 Li 0.250 0.250 0.250
3 Zr 0.500 0.500 0.500
4 Pt 0.750 0.750 0.750

Properties
* distance to the lowest polymorph of the same formula: 0 meV/atom
* space-group type: No. 216
* spin magnetization: 0.00 μB/cell
* calculated total energy: -108.09 eV per cell

***

(6)
Material: LiZrPt
Method: DFT, SCAN
State: PBEsol geometry

a b c (Å): 4.408 4.408 2.861
angles (deg): 90.00 90.00 120.00
Positions (direct):
1 Li 0.000 0.000 0.000
2 Zr 0.667 0.333 0.435
3 Pt 0.333 0.667 0.886

Properties
* distance to the lowest polymorph of the same formula: 0 meV/atom
* space-group type: No. 156
* spin magnetization: 0.00 μB/cell
* calculated total energy: -105.43 eV per cell

***

(7)
Material: LiZrPt2
Method: DFT, SCAN
State: PBEsol geometry

a b c (Å): 3.491 3.491 5.348
angles (deg): 90.00 90.00 90.00
Positions (direct):
1 Li 0.000 0.000 0.000
2 Zr 0.500 0.500 0.687
3 Pt 0.000 0.000 0.475
4 Pt 0.500 0.500 0.170

Properties
* distance to the lowest polymorph of the same formula: 333 meV/atom
* space-group type: No. 99
* spin magnetization: 0.00 μB/cell
* calculated total energy: -176.56 eV per cell

***

(8)
Material: LiZr2Pt
Method: DFT, SCAN
State: PBEsol geometry

a b c (Å): 5.342 5.342 5.342
angles (deg): 136.70 136.70 62.89
Positions (direct):
1 Li 0.000 0.000 0.000
2 Zr 0.250 0.750 0.500
3 Zr 0.500 0.500 0.000
4 Pt 0.750 0.250 0.500

Properties
* space-group type: No. 119
* spin magnetization: 0.00 μB/cell
* calculated total energy: -135.96 eV per cell

***

(9)
Material: LiZr2Pt
Method: DFT, SCAN
State: PBEsol geometry

a b c (Å): 10.105 10.105 10.105
angles (deg): 17.09 17.09 17.09
Positions (direct):
1 Li 0.000 0.000 0.000
2 Zr 0.243 0.243 0.243
3 Zr 0.757 0.757 0.757
4 Pt 0.500 0.500 0.500

Properties
* space-group type: No. 166
* spin magnetization: 0.18 μB/cell
* calculated total energy: -134.55 eV per cell

***

(10)
Material: LiZr2Pt
Method: DFT, SCAN
State: PBEsol geometry

a b c (Å): 2.916 2.916 9.211
angles (deg): 90.00 90.00 90.00
Positions (direct):
1 Li 0.000 0.000 0.000
2 Zr 0.500 0.500 0.284
3 Zr 0.500 0.500 0.716
4 Pt 0.000 0.000 0.500

Properties
* space-group type: No. 123
* spin magnetization: 0.00 μB/cell
* calculated total energy: -135.45 eV per cell

***

(11)
Material: LiZrPt2
Method: DFT, SCAN
State: PBEsol geometry

a b c (Å): 3.342 3.342 5.654
angles (deg): 90.00 90.00 90.00
Positions (direct):
1 Li 0.000 0.000 0.000
2 Zr 0.000 0.000 0.500
3 Pt 0.500 0.500 0.238
4 Pt 0.500 0.500 0.762

Properties
* distance to the lowest polymorph of the same formula: 19 meV/atom
* space-group type: No. 123
* spin magnetization: 0.00 μB/cell
* calculated total energy: -177.81 eV per cell

***

(12)
Material: LiZrPt2
Method: DFT, SCAN
State: PBEsol geometry

a b c (Å): 4.282 4.282 3.474
angles (deg): 90.00 90.00 95.67
Positions (direct):
1 Li 0.000 0.000 0.000
2 Zr 0.500 0.500 0.000
3 Pt 0.000 0.500 0.500
4 Pt 0.500 0.000 0.500

Properties
* distance to the lowest polymorph of the same formula: 99 meV/atom
* space-group type: No. 65
* spin magnetization: 0.00 μB/cell
* calculated total energy: -177.50 eV per cell